Record 1
# KBaCrP2 (PBE-GGA, optimized geometry)
# total DFT energy (no corrections)	-3.402	eV per atom
data_KBaCrP2
_chemical_formula_sum 'K1 Ba1 Cr1 P2'
_cell_length_a 5.527
_cell_length_b 5.527
_cell_length_c 5.629
_cell_angle_alpha 90.00
_cell_angle_beta 90.00
_cell_angle_gamma 90.00
_space_group_name_H-M_alt 'P 4/m m m'
_space_group_IT_number 123
_space_group_name_Hall '-P 4 2'
loop_
_atom_site_label
_atom_site_type_symbol
_atom_site_fract_x
_atom_site_fract_y
_atom_site_fract_z
_atom_site_occupancy
K1 K 0.000 0.000 0.000 1
Ba1 Ba 0.000 0.000 0.500 1
Cr1 Cr 0.500 0.500 0.500 1
P1 P 0.000 0.500 0.000 1

---

Record 2
# KBaCrS4 (PBE-GGA, optimized geometry)
# formation energy from raw total energies	-1.17	eV/atom
# total DFT energy (no corrections)	-5.333	eV per atom
data_KBaCrS4
_chemical_formula_sum 'K2 Ba2 Cr2 S8'
_cell_length_a 6.884
_cell_length_b 6.632
_cell_length_c 9.247
_cell_angle_alpha 90.00
_cell_angle_beta 105.77
_cell_angle_gamma 90.00
_space_group_name_H-M_alt 'P 1 21/m 1'
_space_group_IT_number 11
loop_
_space_group_symop_operation_xyz
'x,y,z'
'-x,-y,-z'
'-x,y+1/2,-z'
'x,-y+1/2,z'
loop_
_atom_site_label
_atom_site_type_symbol
_atom_site_fract_x
_atom_site_fract_y
_atom_site_fract_z
_atom_site_occupancy
K1 K 0.219 0.250 0.439 1
Ba1 Ba 0.268 0.250 0.960 1
Cr1 Cr 0.308 0.750 0.211 1
S1 S 0.096 0.750 0.340 1
S2 S 0.165 0.750 0.973 1
S3 S 0.499 0.504 0.741 1

---

Record 3
# KBaCrSi2 (PBE-GGA, optimized geometry)
# formation energy from raw total energies	1.83	eV/atom
# total DFT energy (no corrections)	-2.869	eV per atom
data_KBaCrSi2
_chemical_formula_sum 'K1 Ba1 Cr1 Si2'
_cell_length_a 5.943
_cell_length_b 5.943
_cell_length_c 5.206
_cell_angle_alpha 90.00
_cell_angle_beta 90.00
_cell_angle_gamma 90.00
_space_group_name_H-M_alt 'P 4/m m m'
_space_group_IT_number 123
_space_group_name_Hall '-P 4 2'
loop_
_atom_site_label
_atom_site_type_symbol
_atom_site_fract_x
_atom_site_fract_y
_atom_site_fract_z
_atom_site_occupancy
K1 K 0.000 0.000 0.000 1
Ba1 Ba 0.500 0.500 0.500 1
Cr1 Cr 0.500 0.500 0.000 1
Si1 Si 0.000 0.500 0.500 1

---

Please write out number 2 again, unchanged.
# KBaCrS4 (PBE-GGA, optimized geometry)
# formation energy from raw total energies	-1.17	eV/atom
# total DFT energy (no corrections)	-5.333	eV per atom
data_KBaCrS4
_chemical_formula_sum 'K2 Ba2 Cr2 S8'
_cell_length_a 6.884
_cell_length_b 6.632
_cell_length_c 9.247
_cell_angle_alpha 90.00
_cell_angle_beta 105.77
_cell_angle_gamma 90.00
_space_group_name_H-M_alt 'P 1 21/m 1'
_space_group_IT_number 11
loop_
_space_group_symop_operation_xyz
'x,y,z'
'-x,-y,-z'
'-x,y+1/2,-z'
'x,-y+1/2,z'
loop_
_atom_site_label
_atom_site_type_symbol
_atom_site_fract_x
_atom_site_fract_y
_atom_site_fract_z
_atom_site_occupancy
K1 K 0.219 0.250 0.439 1
Ba1 Ba 0.268 0.250 0.960 1
Cr1 Cr 0.308 0.750 0.211 1
S1 S 0.096 0.750 0.340 1
S2 S 0.165 0.750 0.973 1
S3 S 0.499 0.504 0.741 1

---

Q: total DFT energy (no corrections) of number 2 (KBaCrS4)?
A: -5.333 eV per atom